Entry from the Alexandria database: a relaxed structure of CrAgIr2F (PBE with a Hubbard U).

mass density	9.817	g/cm³
crystal system	tetragonal
total magnetization	2.3	μB per cell
space-group type	P4/mmm
final energy	-4.131	eV per atom

Unit cell a=4.9592 b=3.8744 c=4.9592 alpha=90.00 beta=90.00 gamma=90.00
Last column: nearest neighbours and their distance in Å.
Positions (direct):
Cr 0.5000 0.5000 0.5000  8 Ir 3.15, 4 F 3.51
Ir 0.0000 0.0000 0.5000  2 Ag 2.48
Ir 0.5000 0.0000 0.0000  2 Ag 2.48
Ag 0.0000 0.0000 0.0000  2 F 1.94
F 0.0000 0.5000 0.0000  2 Ag 1.94